The following is a DFT calculation (PBE) of a relaxed PmHg2Se crystal.

Lattice parameters (Å, degrees): 3.5732 3.5732 10.7942 80.47 80.47 60.00
Last column: nearest neighbours and their distance in Å.
Fractional coordinates of all 4 atoms:
Pm  0.0000  0.0000  0.0000  2 Hg 3.07
Hg  0.9034  0.9034  0.2897  3 Se 3.04, 1 Pm 3.07
Se  0.5000  0.5000  0.5000  6 Hg 3.04
Hg  0.0966  0.0966  0.7103  3 Se 3.04, 1 Pm 3.07

density of states at the Fermi level	0.96	states/eV/atom
SG	R-3m
calculated volume	117	Å³/f.u.
crystal system	trigonal
raw formation energy	0.154	eV per atom